! PBE-GGA ThPa2Ni, relaxed; values from VASP
! Volume ... 24.03 Å³/atom
! Total magnetic moment ... 0.00 μB per atom
! Formation energy ... 35.0 kJ/mol of atoms
! DOS(E_F) ... 8.52 states/eV/f.u.
&SYSTEM
  ibrav = 0, nat = 12, ntyp = 3
/
ATOMIC_SPECIES
Th 232.04 Th.upf
Pa 231.04 Pa.upf
Ni 58.69 Ni.upf
CELL_PARAMETERS angstrom
4.312 0.000 0.000
-2.156 3.734 0.000
0.000 0.000 17.906
ATOMIC_POSITIONS angstrom
Th 0.000 0.000 0.000
Th 0.000 2.490 11.937
Th 2.156 1.245 5.969
Pa 0.000 0.000 4.175
Pa 0.000 0.000 13.730
Pa 0.000 2.490 7.762
Pa 0.000 2.490 16.112
Pa 2.156 1.245 1.793
Pa 2.156 1.245 10.144
Ni 0.000 0.000 8.953
Ni 0.000 2.490 2.984
Ni 2.156 1.245 14.921